1.
A relaxed structure of ScMnP. Source: Alexandria, functional GGA-PBE.

- theoretical density (g cm⁻³) = 5.08
- DOS(E_F) (states/eV per atom) = 0.876
- total magnetization (μB per formula unit) = 0.000
- DFT total energy (eV/atom) = -7.53
- energy relative to the elements (meV per atom) = -558.2

a = 2.991 Å, b = 2.991 Å, c = 9.568 Å
α = 90.00°, β = 90.00°, γ = 90.00°
Space group I4mm (No. 107)
Symmetry-distinct sites (fractional):
Sc: 0.000 0.000 0.000 (multiplicity 2)
Mn: 0.000 0.000 0.300 (multiplicity 2)
P: 0.000 0.000 0.701 (multiplicity 2)


2.
A relaxed structure of TaW4. Source: Alexandria, functional GGA-PBE.

- theoretical density (g cm⁻³) = 14.73
- offset from the most stable computed form (meV per atom) = 2637
- DOS(E_F) (states/eV per atom) = 1.015
- total magnetization (μB per formula unit) = 0.000
- DFT total energy (eV/atom) = -10.18
- energy relative to the elements (meV per atom) = 2551.0

a = 4.692 Å, b = 4.692 Å, c = 4.692 Å
α = 90.00°, β = 90.00°, γ = 90.00°
Space group Pm-3m (No. 221)
Symmetry-distinct sites (fractional):
Ta: 0.000 0.000 0.000 (multiplicity 1)
W: 0.000 0.000 0.500 (multiplicity 3)
W: 0.500 0.500 0.500 (multiplicity 1)


3.
A relaxed structure of Cs2SnI3Br. Source: Alexandria, functional GGA-PBE.

- theoretical density (g cm⁻³) = 3.90
- ΔE_f (raw) (meV/atom) = -1185
- total magnetization (μB per formula unit) = 0.000
- DFT total energy (eV/atom) = -2.90

a = 5.899 Å, b = 6.234 Å, c = 19.546 Å
α = 90.00°, β = 90.00°, γ = 90.00°
Space group Immm (No. 71)
Symmetry-distinct sites (fractional):
Cs: 0.000 0.000 0.139 (multiplicity 4)
Sn: 0.000 0.000 0.500 (multiplicity 2)
I: 0.000 0.000 0.336 (multiplicity 4)
I: 0.000 0.500 0.500 (multiplicity 2)
Br: 0.000 0.500 0.000 (multiplicity 2)


4.
A relaxed structure of LiAs4Pd4. Source: Alexandria, functional GGA-PBE.

- theoretical density (g cm⁻³) = 7.12
- DOS(E_F) (states/eV per atom) = 0.488
- total magnetization (μB per formula unit) = 0.000
- DFT total energy (eV/atom) = -4.76
- energy relative to the elements (meV per atom) = -171.0

a = 6.239 Å, b = 6.239 Å, c = 8.777 Å
α = 90.00°, β = 90.00°, γ = 90.00°
Space group I-42m (No. 121)
Symmetry-distinct sites (fractional):
Li: 0.000 0.000 0.000 (multiplicity 2)
As: 0.233 0.233 0.140 (multiplicity 8)
Pd: 0.000 0.000 0.314 (multiplicity 4)
Pd: 0.000 0.500 0.000 (multiplicity 4)


5.
A relaxed structure of NdTm3Hg4. Source: Alexandria, functional GGA-PBE.

- theoretical density (g cm⁻³) = 11.75
- DOS(E_F) (states/eV per atom) = 0.775
- total magnetization (μB per formula unit) = 0.436
- DFT total energy (eV/atom) = -2.89
- energy relative to the elements (meV per atom) = -468.9

a = 5.209 Å, b = 5.209 Å, c = 7.571 Å
α = 90.00°, β = 90.00°, γ = 90.00°
Space group P4/mmm (No. 123)
Symmetry-distinct sites (fractional):
Nd: 0.000 0.000 0.000 (multiplicity 1)
Tm: 0.000 0.000 0.500 (multiplicity 1)
Tm: 0.500 0.500 0.000 (multiplicity 1)
Tm: 0.500 0.500 0.500 (multiplicity 1)
Hg: 0.000 0.500 0.263 (multiplicity 4)


6.
A relaxed structure of CaAl8ZnAg2. Source: Alexandria, functional GGA-PBE.

- theoretical density (g cm⁻³) = 3.86
- DOS(E_F) (states/eV per atom) = 0.287
- total magnetization (μB per formula unit) = 0.000
- DFT total energy (eV/atom) = -3.21
- energy relative to the elements (meV per atom) = 35.7

a = 8.400 Å, b = 5.431 Å, c = 10.160 Å
α = 90.00°, β = 94.27°, γ = 90.00°
Space group C2/m (No. 12)
Symmetry-distinct sites (fractional):
Ca: 0.000 0.000 0.000 (multiplicity 2)
Al: 0.081 0.250 0.304 (multiplicity 8)
Al: 0.159 0.500 0.094 (multiplicity 4)
Al: 0.168 0.500 0.537 (multiplicity 4)
Zn: 0.000 0.000 0.500 (multiplicity 2)
Ag: 0.175 0.500 0.827 (multiplicity 4)